VSn3O: relaxed, GGA+U.

Results
DOS at the Fermi energy: 3.4 states/eV/f.u.
Energy above the most stable polymorph in this dataset: 0.0 meV per atom

The structure in POSCAR format:
```
VSn3O
1.0
4.742 0.000 0.000
0.000 4.742 0.000
0.000 0.000 4.742
V Sn O
1 3 1
direct
0.000 0.000 0.000
0.000 0.500 0.500
0.500 0.000 0.500
0.500 0.500 0.000
0.500 0.500 0.500
```